# PuCdCl6 (PBE-GGA, optimized geometry)
data_PuCdCl6
_chemical_formula_sum 'Pu2 Cd2 Cl12'
_cell_length_a 6.583
_cell_length_b 12.368
_cell_length_c 6.575
_cell_angle_alpha 90.00
_cell_angle_beta 108.16
_cell_angle_gamma 90.00
_space_group_name_H-M_alt 'C 1 2/m 1'
_space_group_IT_number 12
loop_
_space_group_symop_operation_xyz
'x,y,z'
'-x,-y,-z'
'-x,y,-z'
'x,-y,z'
'x+1/2,y+1/2,z'
'-x+1/2,-y+1/2,-z'
'-x+1/2,y+1/2,-z'
'x+1/2,-y+1/2,z'
loop_
_atom_site_label
_atom_site_type_symbol
_atom_site_fract_x
_atom_site_fract_y
_atom_site_fract_z
_atom_site_occupancy
Pu1 Pu 0.000 0.000 0.000 1
Cd1 Cd 0.000 0.500 0.500 1
Cl1 Cl 0.241 0.000 0.759 1
Cl2 Cl 0.250 0.145 0.250 1
# E above lowest polymorph = 0 meV/atom
# crystal system = monoclinic
# E = -75.2 eV per cell

---

# Rb3PuCd2Cl9 (PBE-GGA, optimized geometry)
data_Rb3PuCd2Cl9
_chemical_formula_sum 'Rb3 Pu1 Cd2 Cl9'
_cell_length_a 7.6548
_cell_length_b 7.6548
_cell_length_c 9.4894
_cell_angle_alpha 90.00
_cell_angle_beta 90.00
_cell_angle_gamma 120.00
_space_group_name_H-M_alt 'P -3 m 1'
_space_group_IT_number 164
_space_group_name_Hall '-P 3 2"'
loop_
_atom_site_label
_atom_site_type_symbol
_atom_site_fract_x
_atom_site_fract_y
_atom_site_fract_z
_atom_site_occupancy
Rb1 Rb 0.0000 0.0000 0.0000 1
Rb2 Rb 0.3333 0.6667 0.7027 1
Pu1 Pu 0.0000 0.0000 0.5000 1
Cd1 Cd 0.3333 0.6667 0.1591 1
Cl1 Cl 0.0000 0.5000 0.0000 1
Cl2 Cl 0.1678 0.3355 0.3301 1
# crystal system = trigonal
# E = -59.5 eV per cell